[1]
Computed, not measured: a relaxed NaSr2TlPt crystal at the PBE level of DFT.

Values from the calculation:
* formation enthalpy at 0 K: -0.3622 eV per atom
* N(E_F): 0.773 states/eV per atom

Unit cell a=5.9489 b=5.9489 c=5.3376 alpha=90.00 beta=90.00 gamma=90.00
Closest atoms and distances in Å follow each position.
Sites, in units of the cell vectors:
Sr 0.5000 0.0000 0.0000  2 Pt 2.97
Na 0.5000 0.5000 0.5000  8 Sr 4.00, 4 Tl 4.21
Tl 0.0000 0.0000 0.5000  2 Pt 2.67
Sr 0.0000 0.5000 0.0000  2 Pt 2.97
Pt 0.0000 0.0000 0.0000  2 Tl 2.67, 4 Sr 2.97

---

[2]
Computed, not measured: a relaxed ZrAlHg crystal at the PBE level of DFT.

Values from the calculation:
* formation enthalpy at 0 K: -0.2763 eV per atom
* N(E_F): 0.507 states/eV per atom

Unit cell a=4.5580 b=4.5580 c=3.3063 alpha=90.00 beta=90.00 gamma=120.00
Closest atoms and distances in Å follow each position.
Sites, in units of the cell vectors:
Hg 0.6667 0.3333 0.1668  3 Al 2.63
Zr 0.3333 0.6667 0.6666  6 Hg 3.11, 6 Al 3.11, 2 Zr 3.31
Al 0.0000 0.0000 0.1666  3 Hg 2.63

---

[3]
Computed, not measured: a relaxed CaNd7Er3 crystal at the PBE level of DFT.

Values from the calculation:
* formation enthalpy at 0 K: 0.2134 eV per atom
* N(E_F): 1.439 states/eV per atom

Unit cell a=8.7414 b=7.2388 c=7.2388 alpha=120.00 beta=90.00 gamma=90.00
Closest atoms and distances in Å follow each position.
Sites, in units of the cell vectors:
Nd 0.4567 0.3364 0.1682  2 Er 3.55, 7 Nd 3.56-3.72, 2 Ca 3.62
Nd 0.1044 0.1643 0.3286  2 Er 3.49, 8 Nd 3.57-3.72, 1 Ca 3.65
Nd 0.1044 0.6714 0.8357  2 Er 3.49, 8 Nd 3.57-3.72, 1 Ca 3.65
Er 0.7873 0.5022 0.0044  5 Nd 3.49-3.60, 4 Er 3.57-3.67, 1 Ca 3.67
Er 0.7873 0.9956 0.4978  5 Nd 3.49-3.60, 4 Er 3.57-3.67, 1 Ca 3.67
Er 0.7873 0.5022 0.4978  5 Nd 3.49-3.60, 4 Er 3.57-3.67, 1 Ca 3.67
Nd 0.1044 0.1643 0.8357  2 Er 3.49, 8 Nd 3.57-3.72, 1 Ca 3.65
Nd 0.4567 0.8318 0.1682  2 Er 3.55, 7 Nd 3.56-3.72, 2 Ca 3.62
Nd 0.4567 0.8318 0.6636  2 Er 3.55, 7 Nd 3.56-3.72, 2 Ca 3.62
Nd 0.1251 0.6667 0.3333  9 Nd 3.56-3.62, 3 Er 3.60
Ca 0.4447 0.3333 0.6667  9 Nd 3.62-3.65, 3 Er 3.67